#P
Crystalline Y2PbF2 at its relaxed geometry, computed with GGA-PBE.

Computed properties:
Space-group type ... P4/mbm (127)
Density of states at the Fermi level ... 4.959 states/eV/cell
Total moment ... 0.000 μB per atom

```
data_Y2PbF2
_space_group_name_H-M_alt 'P 1'
_space_group_IT_number 1
_cell_length_a 8.195
_cell_length_b 8.195
_cell_length_c 3.174
_cell_angle_alpha 90.00
_cell_angle_beta 90.00
_cell_angle_gamma 90.00
loop_
_space_group_symop_operation_xyz
'x,y,z'
loop_
_atom_site_label
_atom_site_type_symbol
_atom_site_fract_x
_atom_site_fract_y
_atom_site_fract_z
Y1 Y 0.854 0.646 0.000
Y2 Y 0.354 0.854 0.000
Y3 Y 0.646 0.146 0.000
Y4 Y 0.146 0.354 0.000
F1 F 0.600 0.900 0.500
F2 F 0.900 0.400 0.500
F3 F 0.100 0.600 0.500
F4 F 0.400 0.100 0.500
Pb1 Pb 0.000 0.000 0.000
Pb2 Pb 0.500 0.500 0.000
```



#Q
Crystalline Y2PbF2 at its relaxed geometry, computed with GGA-PBE.

Computed properties:
Space-group type ... I4/mmm (139)
Density of states at the Fermi level ... 1.786 states/eV/cell
Total moment ... 0.001 μB per atom

```
data_Y2PbF2
_space_group_name_H-M_alt 'P 1'
_space_group_IT_number 1
_cell_length_a 3.888
_cell_length_b 3.888
_cell_length_c 7.098
_cell_angle_alpha 74.10
_cell_angle_beta 74.10
_cell_angle_gamma 90.00
loop_
_space_group_symop_operation_xyz
'x,y,z'
loop_
_atom_site_label
_atom_site_type_symbol
_atom_site_fract_x
_atom_site_fract_y
_atom_site_fract_z
Y1 Y 0.636 0.636 0.727
Y2 Y 0.364 0.364 0.273
F1 F 0.750 0.250 0.500
F2 F 0.250 0.750 0.500
Pb1 Pb 0.000 0.000 0.000
```



Most stable pick: #Q. Distance to second place: 660 meV/atom.



#P
Crystalline Y2PbF at its relaxed geometry, computed with GGA-PBE.

Computed properties:
Space-group type ... Fm-3m (225)
Density of states at the Fermi level ... 2.886 states/eV/cell
Total moment ... 0.194 μB per atom

```
data_Y2PbF
_space_group_name_H-M_alt 'P 1'
_space_group_IT_number 1
_cell_length_a 5.170
_cell_length_b 5.170
_cell_length_c 5.170
_cell_angle_alpha 60.00
_cell_angle_beta 60.00
_cell_angle_gamma 60.00
loop_
_space_group_symop_operation_xyz
'x,y,z'
loop_
_atom_site_label
_atom_site_type_symbol
_atom_site_fract_x
_atom_site_fract_y
_atom_site_fract_z
Y1 Y 0.750 0.750 0.750
Y2 Y 0.250 0.250 0.250
F1 F 0.000 0.000 0.000
Pb1 Pb 0.500 0.500 0.500
```



#Q
Crystalline Y2PbF at its relaxed geometry, computed with GGA-PBE.

Computed properties:
Space-group type ... I-42d (122)
Density of states at the Fermi level ... 4.130 states/eV/cell
Total moment ... 0.250 μB per atom

```
data_Y2PbF
_space_group_name_H-M_alt 'P 1'
_space_group_IT_number 1
_cell_length_a 7.337
_cell_length_b 7.337
_cell_length_c 6.346
_cell_angle_alpha 54.69
_cell_angle_beta 54.69
_cell_angle_gamma 90.00
loop_
_space_group_symop_operation_xyz
'x,y,z'
loop_
_atom_site_label
_atom_site_type_symbol
_atom_site_fract_x
_atom_site_fract_y
_atom_site_fract_z
Y1 Y 0.209 0.625 0.250
Y2 Y 0.875 0.791 0.750
Y3 Y 0.375 0.459 0.750
Y4 Y 0.541 0.125 0.250
F1 F 0.250 0.750 0.500
F2 F 0.500 0.500 0.000
Pb1 Pb 0.000 0.000 0.000
Pb2 Pb 0.750 0.250 0.500
```



#R
Crystalline Y2PbF at its relaxed geometry, computed with GGA-PBE.

Computed properties:
Space-group type ... R-3m (166)
Density of states at the Fermi level ... 2.754 states/eV/cell
Total moment ... 0.000 μB per atom

```
data_Y2PbF
_space_group_name_H-M_alt 'P 1'
_space_group_IT_number 1
_cell_length_a 3.628
_cell_length_b 3.628
_cell_length_c 9.419
_cell_angle_alpha 78.89
_cell_angle_beta 78.89
_cell_angle_gamma 60.00
loop_
_space_group_symop_operation_xyz
'x,y,z'
loop_
_atom_site_label
_atom_site_type_symbol
_atom_site_fract_x
_atom_site_fract_y
_atom_site_fract_z
Y1 Y 0.113 0.113 0.662
Y2 Y 0.887 0.887 0.338
F1 F 0.500 0.500 0.500
Pb1 Pb 0.000 0.000 0.000
```



Most stable pick: #Q. Distance to second place: 312 meV/atom.



#P
Crystalline Y2Pb2F at its relaxed geometry, computed with GGA-PBE.

Computed properties:
Space-group type ... P4/mbm (127)
Density of states at the Fermi level ... 9.815 states/eV/cell
Total moment ... 0.000 μB per atom

```
data_Y2Pb2F
_space_group_name_H-M_alt 'P 1'
_space_group_IT_number 1
_cell_length_a 8.154
_cell_length_b 8.154
_cell_length_c 4.216
_cell_angle_alpha 90.00
_cell_angle_beta 90.00
_cell_angle_gamma 90.00
loop_
_space_group_symop_operation_xyz
'x,y,z'
loop_
_atom_site_label
_atom_site_type_symbol
_atom_site_fract_x
_atom_site_fract_y
_atom_site_fract_z
Pb1 Pb 0.871 0.629 0.000
Pb2 Pb 0.371 0.871 0.000
Pb3 Pb 0.129 0.371 0.000
Pb4 Pb 0.629 0.129 0.000
Y1 Y 0.323 0.177 0.500
Y2 Y 0.823 0.323 0.500
Y3 Y 0.177 0.677 0.500
Y4 Y 0.677 0.823 0.500
F1 F 0.500 0.500 0.000
F2 F 0.000 0.000 0.000
```



#Q
Crystalline Y2Pb2F at its relaxed geometry, computed with GGA-PBE.

Computed properties:
Space-group type ... I4/mmm (139)
Density of states at the Fermi level ... 3.240 states/eV/cell
Total moment ... 0.141 μB per atom

```
data_Y2Pb2F
_space_group_name_H-M_alt 'P 1'
_space_group_IT_number 1
_cell_length_a 4.398
_cell_length_b 4.398
_cell_length_c 8.670
_cell_angle_alpha 75.31
_cell_angle_beta 75.31
_cell_angle_gamma 90.00
loop_
_space_group_symop_operation_xyz
'x,y,z'
loop_
_atom_site_label
_atom_site_type_symbol
_atom_site_fract_x
_atom_site_fract_y
_atom_site_fract_z
Y1 Y 0.394 0.394 0.213
Y2 Y 0.606 0.606 0.787
Pb1 Pb 0.250 0.750 0.500
Pb2 Pb 0.750 0.250 0.500
F1 F 0.000 0.000 0.000
```



Most stable pick: #P. Distance to second place: 219 meV/atom.



#P
Crystalline Y2Pb2F at its relaxed geometry, computed with GGA-PBE.

Computed properties:
Space-group type ... I4/mmm (139)
Density of states at the Fermi level ... 5.226 states/eV/cell
Total moment ... 0.000 μB per atom

```
data_Y2Pb2F
_space_group_name_H-M_alt 'P 1'
_space_group_IT_number 1
_cell_length_a 6.060
_cell_length_b 6.060
_cell_length_c 6.060
_cell_angle_alpha 60.00
_cell_angle_beta 60.00
_cell_angle_gamma 90.00
loop_
_space_group_symop_operation_xyz
'x,y,z'
loop_
_atom_site_label
_atom_site_type_symbol
_atom_site_fract_x
_atom_site_fract_y
_atom_site_fract_z
Pb1 Pb 0.684 0.684 0.631
Pb2 Pb 0.316 0.316 0.369
F1 F 0.000 0.000 0.000
Y1 Y 0.750 0.250 0.500
Y2 Y 0.250 0.750 0.500
```



#Q
Crystalline Y2Pb2F at its relaxed geometry, computed with GGA-PBE.

Computed properties:
Space-group type ... P4/mbm (127)
Density of states at the Fermi level ... 5.765 states/eV/cell
Total moment ... 0.000 μB per atom

```
data_Y2Pb2F
_space_group_name_H-M_alt 'P 1'
_space_group_IT_number 1
_cell_length_a 6.836
_cell_length_b 6.836
_cell_length_c 5.344
_cell_angle_alpha 90.00
_cell_angle_beta 90.00
_cell_angle_gamma 90.00
loop_
_space_group_symop_operation_xyz
'x,y,z'
loop_
_atom_site_label
_atom_site_type_symbol
_atom_site_fract_x
_atom_site_fract_y
_atom_site_fract_z
F1 F 0.000 0.000 0.000
F2 F 0.500 0.500 0.000
Y1 Y 0.329 0.829 0.000
Y2 Y 0.829 0.671 0.000
Y3 Y 0.171 0.329 0.000
Y4 Y 0.671 0.171 0.000
Pb1 Pb 0.665 0.835 0.500
Pb2 Pb 0.835 0.335 0.500
Pb3 Pb 0.335 0.165 0.500
Pb4 Pb 0.165 0.665 0.500
```



Most stable pick: #Q. Distance to second place: 762 meV/atom.



#P
Crystalline ZnPb2F at its relaxed geometry, computed with GGA-PBE.

Computed properties:
Space-group type ... I-42d (122)
Density of states at the Fermi level ... 3.488 states/eV/cell
Total moment ... 0.000 μB per atom

```
data_ZnPb2F
_space_group_name_H-M_alt 'P 1'
_space_group_IT_number 1
_cell_length_a 5.261
_cell_length_b 5.261
_cell_length_c 8.719
_cell_angle_alpha 72.44
_cell_angle_beta 72.44
_cell_angle_gamma 90.00
loop_
_space_group_symop_operation_xyz
'x,y,z'
loop_
_atom_site_label
_atom_site_type_symbol
_atom_site_fract_x
_atom_site_fract_y
_atom_site_fract_z
Pb1 Pb 0.559 0.125 0.250
Pb2 Pb 0.375 0.441 0.750
Pb3 Pb 0.875 0.809 0.750
Pb4 Pb 0.191 0.625 0.250
Zn1 Zn 0.750 0.250 0.500
Zn2 Zn 0.000 0.000 0.000
F1 F 0.500 0.500 0.000
F2 F 0.250 0.750 0.500
```



#Q
Crystalline ZnPb2F at its relaxed geometry, computed with GGA-PBE.

Computed properties:
Space-group type ... Fm-3m (225)
Density of states at the Fermi level ... 3.582 states/eV/cell
Total moment ... 0.000 μB per atom

```
data_ZnPb2F
_space_group_name_H-M_alt 'P 1'
_space_group_IT_number 1
_cell_length_a 4.944
_cell_length_b 4.944
_cell_length_c 4.944
_cell_angle_alpha 60.00
_cell_angle_beta 60.00
_cell_angle_gamma 60.00
loop_
_space_group_symop_operation_xyz
'x,y,z'
loop_
_atom_site_label
_atom_site_type_symbol
_atom_site_fract_x
_atom_site_fract_y
_atom_site_fract_z
Pb1 Pb 0.750 0.750 0.750
Pb2 Pb 0.250 0.250 0.250
F1 F 0.000 0.000 0.000
Zn1 Zn 0.500 0.500 0.500
```



Most stable pick: #Q. Distance to second place: 51 meV/atom.



#P
Crystalline ZnPbF2 at its relaxed geometry, computed with GGA-PBE.

Computed properties:
Space-group type ... I-42d (122)
Density of states at the Fermi level ... 0.662 states/eV/cell
Total moment ... 0.000 μB per atom

```
data_ZnPbF2
_space_group_name_H-M_alt 'P 1'
_space_group_IT_number 1
_cell_length_a 5.538
_cell_length_b 5.538
_cell_length_c 6.199
_cell_angle_alpha 63.47
_cell_angle_beta 63.47
_cell_angle_gamma 90.00
loop_
_space_group_symop_operation_xyz
'x,y,z'
loop_
_atom_site_label
_atom_site_type_symbol
_atom_site_fract_x
_atom_site_fract_y
_atom_site_fract_z
Pb1 Pb 0.750 0.250 0.500
Pb2 Pb 0.000 0.000 0.000
F1 F 0.265 0.625 0.250
F2 F 0.875 0.735 0.750
F3 F 0.375 0.515 0.750
F4 F 0.485 0.125 0.250
Zn1 Zn 0.500 0.500 0.000
Zn2 Zn 0.250 0.750 0.500
```



#Q
Crystalline ZnPbF2 at its relaxed geometry, computed with GGA-PBE.

Computed properties:
Space-group type ... Fm-3m (225)
Density of states at the Fermi level ... 0.031 states/eV/cell
Total moment ... 0.000 μB per atom

```
data_ZnPbF2
_space_group_name_H-M_alt 'P 1'
_space_group_IT_number 1
_cell_length_a 4.569
_cell_length_b 4.569
_cell_length_c 4.569
_cell_angle_alpha 60.00
_cell_angle_beta 60.00
_cell_angle_gamma 60.00
loop_
_space_group_symop_operation_xyz
'x,y,z'
loop_
_atom_site_label
_atom_site_type_symbol
_atom_site_fract_x
_atom_site_fract_y
_atom_site_fract_z
Pb1 Pb 0.500 0.500 0.500
Zn1 Zn 0.000 0.000 0.000
F1 F 0.750 0.750 0.750
F2 F 0.250 0.250 0.250
```



Most stable pick: #P. Distance to second place: 14 meV/atom.